Below is a crystal of MnRhW relaxed with PBEsol, with properties calculated at the SCAN level.

Geometry as CIF:
```
data_MnRhW
_chemical_formula_sum 'Mn1 Rh1 W1'
_symmetry_space_group_name_H-M 'P 1'
_symmetry_Int_Tables_number 1
_symmetry_space_group_name_Hall 'P 1'
_cell_length_a 2.680
_cell_length_b 2.680
_cell_length_c 6.553
_cell_angle_alpha 90.00
_cell_angle_beta 90.00
_cell_angle_gamma 120.00
loop_
_atom_site_label
_atom_site_type_symbol
_atom_site_fract_x
_atom_site_fract_y
_atom_site_fract_z
Rh1 Rh 0.333 0.667 0.677
W1 W 0.667 0.333 0.330
Mn1 Mn 0.000 0.000 0.993
```

Computed properties:
Raw total energy ... -121.61 eV for the cell shown
Energy of formation from the pure elements ... 0.036 eV/atom